(1)
The following is a DFT calculation (GGA-PBE) of a relaxed structure of Tm2Co2Os.

Cell and atoms, written as POSCAR:
```
Tm2Co2Os
1.0
5.067 0.034 0.918
2.255 4.537 0.918
0.106 0.066 7.739
Tm Co Os
4 4 2
Direct
0.473 0.226 0.153 Tm
0.774 0.527 0.347 Tm
0.527 0.774 0.847 Tm
0.226 0.473 0.653 Tm
0.753 0.997 0.502 Co
0.003 0.247 0.998 Co
0.247 0.003 0.498 Co
0.997 0.753 0.002 Co
0.128 0.872 0.250 Os
0.872 0.128 0.750 Os
```

Properties
The value obtained for the formation energy is -0.266 eV per atom. The value obtained for the total energy is -0.5250 Ry per atom. As for the magnetic moment: 0.5 μB per formula unit.

---

(2)
The following is a DFT calculation (GGA-PBE) of a relaxed structure of BeFePd2.

Cell and atoms, written as POSCAR:
```
BeFePd2
1.0
-1.024 1.510 2.160
-0.839 -3.623 2.134
3.907 0.132 1.760
Be Fe Pd
1 1 2
Direct
0.500 0.500 0.500 Be
0.500 0.000 0.000 Fe
0.000 0.000 0.500 Pd
0.000 0.500 0.000 Pd
```

Properties
The value obtained for the formation energy is -0.178 eV per atom. The value obtained for the total energy is -0.4279 Ry per atom. As for the magnetic moment: 3.3 μB per formula unit.

---

(3)
The following is a DFT calculation (GGA-PBE) of a relaxed structure of K2Hg2Te3.

Cell and atoms, written as POSCAR:
```
K2Hg2Te3
1.0
-0.617 0.652 4.696
4.810 -6.762 1.571
3.746 6.977 -2.911
K Hg Te
2 2 3
Direct
0.406 0.155 0.813 K
0.594 0.845 0.187 K
0.189 0.301 0.379 Hg
0.811 0.699 0.621 Hg
0.000 0.000 0.000 Te
0.198 0.663 0.397 Te
0.802 0.337 0.603 Te
```

Properties
The value obtained for the total energy is -0.1675 Ry per atom. As for the magnetic moment: 0.0 μB per formula unit. The distance to the lowest polymorph of the same formula is 47.0 meV per atom. As for the uncorrected formation energy: -0.532 eV/atom.

---

(4)
The following is a DFT calculation (GGA-PBE) of a relaxed structure of BeTe2Se.

Cell and atoms, written as POSCAR:
```
BeTe2Se
1.0
-3.472 0.594 1.020
-1.071 -4.541 -1.000
0.726 -3.752 4.655
Be Te Se
1 2 1
Direct
0.000 0.457 0.583 Be
0.000 0.036 0.990 Te
0.500 0.294 0.303 Te
0.500 0.713 0.624 Se
```

Properties
The value obtained for the total energy is -0.2456 Ry per atom. As for the magnetic moment: 0.0 μB per formula unit. The distance to the lowest polymorph of the same formula is 33.6 meV per atom. As for the uncorrected formation energy: 0.032 eV/atom.

---

(5)
The following is a DFT calculation (GGA-PBE) of a relaxed structure of Pa3Sb.

Cell and atoms, written as POSCAR:
```
Pa3Sb
1.0
5.213 0.000 0.000
2.607 4.515 0.000
2.607 1.505 4.256
Sb Pa
1 3
Direct
0.500 0.500 0.500 Sb
0.000 0.000 0.000 Pa
0.750 0.750 0.750 Pa
0.250 0.250 0.250 Pa
```

Properties
The value obtained for the total energy is -0.5989 Ry per atom. As for the magnetic moment: 0.0 μB per formula unit. The distance to the lowest polymorph of the same formula is 350.0 meV per atom. As for the uncorrected formation energy: 0.004 eV/atom.

---

(6)
The following is a DFT calculation (GGA-PBE) of a relaxed structure of Rb2Sc3I10.

Cell and atoms, written as POSCAR:
```
Rb2Sc3I10
1.0
7.987 0.000 -2.600
-1.352 10.584 -4.155
0.292 0.264 14.467
Rb Sc I
4 6 20
Direct
0.739 0.327 0.478 Rb
0.261 0.673 0.522 Rb
0.628 0.735 0.256 Rb
0.372 0.265 0.744 Rb
0.923 0.523 0.847 Sc
0.077 0.477 0.153 Sc
0.820 0.968 0.640 Sc
0.180 0.032 0.360 Sc
0.737 0.000 0.000 Sc
0.263 0.000 0.000 Sc
0.631 0.954 0.776 I
0.145 0.954 0.776 I
0.369 0.046 0.224 I
0.855 0.046 0.224 I
0.611 0.541 0.719 I
0.108 0.541 0.719 I
0.389 0.459 0.281 I
0.892 0.459 0.281 I
0.984 0.811 0.967 I
0.016 0.189 0.033 I
0.872 0.247 0.743 I
0.128 0.753 0.257 I
0.764 0.708 0.528 I
0.236 0.292 0.472 I
0.484 0.807 0.968 I
0.516 0.193 0.032 I
0.768 0.500 0.000 I
0.232 0.500 0.000 I
0.500 0.000 0.500 I
0.000 0.000 0.500 I
```

Properties
The value obtained for the total energy is -0.2697 Ry per atom. As for the magnetic moment: 1.1 μB per formula unit. As for the uncorrected formation energy: -1.240 eV/atom.

---

(7)
The following is a DFT calculation (GGA-PBE) of a relaxed structure of NaScSCl2.

Cell and atoms, written as POSCAR:
```
NaScSCl2
1.0
-0.885 2.061 4.116
-4.590 -0.709 -0.632
0.385 -4.639 2.406
Sc Na S Cl
1 1 1 2
Direct
0.500 0.500 0.500 Sc
0.000 0.000 0.000 Na
0.000 0.000 0.500 S
0.000 0.500 0.000 Cl
0.500 0.000 0.000 Cl
```

Properties
The value obtained for the total energy is -0.2754 Ry per atom. As for the magnetic moment: 0.1 μB per formula unit. The distance to the lowest polymorph of the same formula is 1033.6 meV per atom. As for the uncorrected formation energy: -0.653 eV/atom.

---

(8)
The following is a DFT calculation (GGA-PBE) of a relaxed structure of NaP3Se.

Cell and atoms, written as POSCAR:
```
NaP3Se
1.0
-4.157 -2.318 -1.152
1.236 0.138 -4.737
2.274 -4.312 0.467
P Se Na
3 1 1
Direct
0.000 0.500 0.000 P
0.000 0.000 0.500 P
0.500 0.000 0.000 P
0.000 0.000 0.000 Se
0.500 0.500 0.500 Na
```

Properties
The value obtained for the total energy is -0.2500 Ry per atom. As for the magnetic moment: 0.0 μB per formula unit. The distance to the lowest polymorph of the same formula is 0.0 meV per atom. As for the uncorrected formation energy: 0.805 eV/atom.

---

(9)
The following is a DFT calculation (GGA-PBE) of a relaxed structure of SiBPN4.

Cell and atoms, written as POSCAR:
```
SiBPN4
1.0
5.136 0.000 0.000
0.017 5.378 0.000
0.870 2.668 4.803
P Si B N
2 2 2 8
Direct
0.336 0.813 0.956 P
0.963 0.051 0.612 P
0.753 0.820 0.305 Si
0.588 0.352 0.852 Si
0.509 0.299 0.395 B
0.947 0.464 0.072 B
0.425 0.477 0.077 N
0.552 0.493 0.510 N
0.815 0.192 0.300 N
0.907 0.755 0.594 N
0.011 0.725 0.098 N
0.519 0.983 0.057 N
0.332 0.021 0.616 N
0.918 0.482 0.816 N
```

Properties
The value obtained for the total energy is -0.5619 Ry per atom. As for the magnetic moment: 0.0 μB per formula unit. The distance to the lowest polymorph of the same formula is 443.4 meV per atom. As for the uncorrected formation energy: -0.386 eV/atom.

---

(10)
The following is a DFT calculation (GGA-PBE) of a relaxed structure of KAlAg2.

Cell and atoms, written as POSCAR:
```
KAlAg2
1.0
-0.008 3.315 -3.176
4.068 -3.550 -3.715
-5.870 -3.222 -3.349
K Al Ag
2 2 4
Direct
0.500 0.889 0.000 K
0.000 0.111 0.500 K
0.500 0.599 0.500 Al
0.000 0.401 0.000 Al
0.000 0.601 0.685 Ag
0.500 0.399 0.815 Ag
0.000 0.601 0.315 Ag
0.500 0.399 0.185 Ag
```

Properties
The value obtained for the formation energy is -0.030 eV per atom. The value obtained for the total energy is -0.1959 Ry per atom. As for the magnetic moment: 0.0 μB per formula unit.

---

(11)
The following is a DFT calculation (GGA-PBE) of a relaxed structure of Ta3NbBi.

Cell and atoms, written as POSCAR:
```
Ta3NbBi
1.0
-4.212 1.442 2.389
0.188 -4.169 2.848
2.784 2.464 3.422
Nb Bi Ta
1 1 3
Direct
0.500 0.500 0.500 Nb
0.000 0.000 0.000 Bi
0.000 0.500 0.000 Ta
0.000 0.000 0.500 Ta
0.500 0.000 0.000 Ta
```

Properties
The value obtained for the formation energy is 2.367 eV per atom. The value obtained for the total energy is -0.5538 Ry per atom. As for the magnetic moment: 0.0 μB per formula unit. The distance to the lowest polymorph of the same formula is 926.3 meV per atom.

---

(12)
The following is a DFT calculation (GGA-PBE) of a relaxed structure of BaCd6Hg.

Cell and atoms, written as POSCAR:
```
BaCd6Hg
1.0
-1.784 -4.929 -2.955
-0.316 0.181 6.007
-6.753 2.706 -0.436
Ba Cd Hg
1 6 1
Direct
0.000 0.000 0.500 Ba
0.500 0.000 0.782 Cd
0.000 0.500 0.782 Cd
0.500 0.500 0.218 Cd
0.500 0.500 0.782 Cd
0.000 0.500 0.218 Cd
0.500 0.000 0.218 Cd
0.000 0.000 0.000 Hg
```

Properties
The value obtained for the formation energy is -0.092 eV per atom. The value obtained for the total energy is -0.0777 Ry per atom. As for the magnetic moment: 0.0 μB per formula unit. The distance to the lowest polymorph of the same formula is 75.2 meV per atom.